Here is a relaxed Cs2ZrCdF6 crystal from Alexandria. Energies are from PBE-GGA.

As for the formation energy without anion corrections: -2.924 eV per atom.

a b c (Å): 7.148 7.148 7.148
angles (deg): 60.00 60.00 60.00
Positions (direct):
Cs (0.250, 0.250, 0.250)
Cs (0.750, 0.750, 0.750)
Zr (0.000, 0.000, 0.000)
Cd (0.500, 0.500, 0.500)
F (0.202, 0.202, 0.798)
F (0.202, 0.798, 0.202)
F (0.202, 0.798, 0.798)
F (0.798, 0.202, 0.202)
F (0.798, 0.202, 0.798)
F (0.798, 0.798, 0.202)

Here is a relaxed CsCdFe crystal from Alexandria. Energies are from PBE-GGA.

As for the formation energy: 0.416 eV per atom. Its relative energy among the computed polymorphs is 43 meV/atom.

a b c (Å): 5.259 4.100 10.780
angles (deg): 90.00 97.00 90.00
Positions (direct):
Cs (0.200, 0.250, 0.302)
Cs (0.800, 0.750, 0.698)
Cd (0.364, 0.250, 0.908)
Cd (0.636, 0.750, 0.092)
Fe (0.112, 0.750, 0.021)
Fe (0.888, 0.250, 0.979)

Here is a relaxed Cs3CdFe crystal from Alexandria. Energies are from PBE-GGA.

As for the formation energy: 0.740 eV per atom. Its relative energy among the computed polymorphs is 0 meV/atom.

a b c (Å): 6.859 6.859 6.859
angles (deg): 90.00 90.00 90.00
Positions (direct):
Cs (0.000, 0.000, 0.500)
Cs (0.000, 0.500, 0.000)
Cs (0.500, 0.000, 0.000)
Cd (0.500, 0.500, 0.500)
Fe (0.000, 0.000, 0.000)

Here is a relaxed CsCdFe3 crystal from Alexandria. Energies are from PBE-GGA.

As for the formation energy: 2.358 eV per atom.

a b c (Å): 4.851 4.851 4.851
angles (deg): 90.00 90.00 90.00
Positions (direct):
Cs (0.000, 0.000, 0.000)
Cd (0.500, 0.500, 0.500)
Fe (0.000, 0.000, 0.500)
Fe (0.000, 0.500, 0.000)
Fe (0.500, 0.000, 0.000)

Here is a relaxed Cs2Cd2Fe crystal from Alexandria. Energies are from PBE-GGA.

As for the formation energy: 0.789 eV per atom.

a b c (Å): 10.873 10.873 3.914
angles (deg): 90.00 90.00 90.00
Positions (direct):
Cs (0.196, 0.304, 0.000)
Cs (0.304, 0.804, 0.000)
Cs (0.696, 0.196, 0.000)
Cs (0.804, 0.696, 0.000)
Cd (0.097, 0.597, 0.500)
Cd (0.403, 0.097, 0.500)
Cd (0.597, 0.903, 0.500)
Cd (0.903, 0.403, 0.500)
Fe (0.000, 0.000, 0.000)
Fe (0.500, 0.500, 0.000)

Here is a relaxed CsCdFe crystal from Alexandria. Energies are from PBE-GGA.

As for the formation energy: 0.373 eV per atom. Its relative energy among the computed polymorphs is 0 meV/atom.

a b c (Å): 3.719 4.137 13.208
angles (deg): 81.11 88.49 90.00
Positions (direct):
Cs (0.218, 0.342, 0.318)
Cs (0.782, 0.658, 0.682)
Cd (0.259, 0.048, 0.902)
Cd (0.741, 0.952, 0.098)
Fe (0.245, 0.473, 0.056)
Fe (0.755, 0.527, 0.944)

Number 1: VASP energy -51.64 eV per cell, D(E_F) 0.00 states/eV/cell. Number 2: VASP energy -17.97 eV per cell, D(E_F) 3.86 states/eV/cell. Number 3: VASP energy -8.24 eV per cell, D(E_F) 8.23 states/eV/cell. Number 4: VASP energy -15.37 eV per cell, D(E_F) 4.40 states/eV/cell. Number 5: VASP energy -16.11 eV per cell, D(E_F) 14.57 states/eV/cell. Number 6: VASP energy -18.23 eV per cell, D(E_F) 4.77 states/eV/cell.